First-principles (PBE) data for crystalline NdSm7Y12 at its relaxed geometry, as listed in Alexandria via LeMat-Bulk. Values from VASP.

Space-group type   No. 148
Polymorph energy (0 for the lowest one)   0.000 eV per atom
Energy relative to the elements   271 meV/atom

Cell and atoms, written as Quantum ESPRESSO input:
```
&SYSTEM
  ibrav = 0, nat = 20, ntyp = 3
/
ATOMIC_SPECIES
Nd 144.24 Nd.upf
Sm 150.36 Sm.upf
Y 88.91 Y.upf
ATOMIC_POSITIONS angstrom
Nd 0.0000 0.0000 0.0000
Sm 6.1822 1.6205 10.0007
Sm -0.6132 0.3426 3.0447
Sm 2.5036 1.6338 0.9087
Sm 3.9748 -0.3297 5.6008
Sm 5.4459 -2.2932 10.2929
Sm 8.5627 -1.0020 8.1569
Sm 1.7674 -2.2798 1.2008
Y 2.6135 2.4456 8.1288
Y 0.2435 -1.0861 6.8057
Y 1.6166 1.5213 4.8222
Y 3.3312 -0.8280 8.5892
Y 4.3690 3.3658 4.1400
Y 5.8781 1.7196 6.9317
Y 2.0715 -2.3789 4.2698
Y 3.5806 -4.0252 7.0616
Y 4.6183 0.1687 2.6123
Y 6.3330 -2.1807 6.3793
Y 7.7060 0.4267 4.3959
Y 5.3361 -3.1049 3.0727
CELL_PARAMETERS angstrom
-3.4530 -0.1478 8.0692
5.4705 -6.7314 1.3488
5.9321 6.2198 1.7836
```

---

First-principles (PBE) data for crystalline NdSm4Y8 at its relaxed geometry, as listed in Alexandria via LeMat-Bulk. Values from VASP.

Space-group type   No. 221
Energy relative to the elements   513 meV/atom

Cell and atoms, written as Quantum ESPRESSO input:
```
&SYSTEM
  ibrav = 0, nat = 13, ntyp = 3
/
ATOMIC_SPECIES
Nd 144.24 Nd.upf
Sm 150.36 Sm.upf
Y 88.91 Y.upf
ATOMIC_POSITIONS angstrom
Nd -4.3343 3.7489 3.6488
Sm 0.0000 0.0000 0.0000
Sm -3.1514 4.5653 -0.0003
Sm 1.7307 4.5649 -2.6343
Sm 4.8821 -0.0004 -2.6340
Y -0.3721 6.4838 -0.6906
Y 1.4677 1.0133 2.7202
Y 2.6022 1.7962 -0.7754
Y 6.4549 0.9451 0.2809
Y -1.5065 5.7009 2.8050
Y 3.1722 5.7005 0.2806
Y -2.0766 1.7966 1.7490
Y -5.3593 6.5521 1.7487
CELL_PARAMETERS angstrom
9.7643 -0.0008 -5.2681
-6.3028 9.1306 -0.0005
-2.3658 -1.6327 7.2982
```

---

First-principles (PBE) data for crystalline Nd2Sm2Y5 at its relaxed geometry, as listed in Alexandria via LeMat-Bulk. Values from VASP.

Space-group type   No. 12
Polymorph energy (0 for the lowest one)   0.000 eV per atom
Energy relative to the elements   140 meV/atom

Cell and atoms, written as Quantum ESPRESSO input:
```
&SYSTEM
  ibrav = 0, nat = 9, ntyp = 3
/
ATOMIC_SPECIES
Nd 144.24 Nd.upf
Sm 150.36 Sm.upf
Y 88.91 Y.upf
ATOMIC_POSITIONS angstrom
Nd -3.9800 0.1259 7.9203
Nd -2.6776 -1.3684 -1.9198
Sm -5.8887 -2.2356 2.8565
Sm -0.7688 0.9932 3.1441
Y -5.1353 -3.2738 -0.3327
Y -1.5223 2.0313 6.3333
Y -4.1714 0.5862 4.2307
Y -2.4861 -1.8287 1.7699
Y 0.0000 0.0000 0.0000
CELL_PARAMETERS angstrom
-2.4843 2.1364 -1.2824
-4.4374 -7.7328 -4.2861
0.2642 4.3539 11.5691
```

---

First-principles (PBE) data for crystalline Nd7Sm3Y at its relaxed geometry, as listed in Alexandria via LeMat-Bulk. Values from VASP.

Space-group type   No. 12
Polymorph energy (0 for the lowest one)   0.111 eV per atom
Energy relative to the elements   226 meV/atom

Cell and atoms, written as Quantum ESPRESSO input:
```
&SYSTEM
  ibrav = 0, nat = 11, ntyp = 3
/
ATOMIC_SPECIES
Nd 144.24 Nd.upf
Sm 150.36 Sm.upf
Y 88.91 Y.upf
ATOMIC_POSITIONS angstrom
Nd 0.1435 1.4723 1.8855
Nd 0.1985 -0.5111 4.8053
Nd 0.4625 2.2739 8.3719
Nd 0.1985 4.7859 0.6691
Nd -2.6546 3.6350 4.6551
Nd 0.4625 7.5708 4.2357
Nd 0.5175 5.5875 7.1555
Sm -2.6546 6.2665 2.6002
Sm 2.9851 -0.1051 -0.1346
Sm -2.6546 1.0035 6.7099
Y 0.3305 3.5299 4.5205
CELL_PARAMETERS angstrom
5.9702 -0.2102 -0.2692
-2.6546 8.1304 1.1448
-2.6546 -0.8605 8.1654
```

---

First-principles (PBE) data for crystalline Nd3Sm5Y2 at its relaxed geometry, as listed in Alexandria via LeMat-Bulk. Values from VASP.

Space-group type   No. 15
Energy relative to the elements   182 meV/atom

Cell and atoms, written as Quantum ESPRESSO input:
```
&SYSTEM
  ibrav = 0, nat = 20, ntyp = 3
/
ATOMIC_SPECIES
Nd 144.24 Nd.upf
Sm 150.36 Sm.upf
Y 88.91 Y.upf
ATOMIC_POSITIONS angstrom
Nd 0.3997 6.8312 5.1209
Nd 6.7488 1.6177 -2.9095
Nd 6.1139 5.0174 -2.4291
Nd 1.0347 3.4316 4.6405
Nd 0.0493 6.4345 -0.7711
Nd 7.0993 2.0144 2.9825
Sm 2.5636 5.1035 -2.9629
Sm 4.5850 3.3454 5.1743
Sm -0.6361 5.5866 2.3958
Sm 3.5795 2.1373 2.5290
Sm 7.7846 2.8623 -0.1845
Sm 3.5691 6.3117 -0.3176
Sm 6.2707 5.3582 1.7239
Sm 0.8779 3.0908 0.4875
Sm 1.8372 0.0565 5.8304
Sm 5.3114 8.3925 -3.6191
Y 5.2501 -0.1713 4.6400
Y 1.8985 8.6202 -2.4287
Y 2.8593 5.5878 2.9184
Y 4.2892 2.8611 -0.7070
CELL_PARAMETERS angstrom
8.8507 1.9794 -4.2682
0.5095 8.9861 -4.2978
-2.2116 -2.5166 10.7774
```

---

First-principles (PBE) data for crystalline NdSm5Y6 at its relaxed geometry, as listed in Alexandria via LeMat-Bulk. Values from VASP.

Space-group type   No. 12
Polymorph energy (0 for the lowest one)   0.004 eV per atom
Energy relative to the elements   16 meV/atom

Cell and atoms, written as Quantum ESPRESSO input:
```
&SYSTEM
  ibrav = 0, nat = 12, ntyp = 3
/
ATOMIC_SPECIES
Y 88.91 Y.upf
Nd 144.24 Nd.upf
Sm 150.36 Sm.upf
ATOMIC_POSITIONS angstrom
Y 3.7361 7.6727 4.1640
Y 1.1157 3.3781 0.5176
Y 0.8440 6.4389 5.9239
Y 4.3951 2.1547 1.3735
Y 4.1234 5.2155 6.7797
Y 1.5030 0.9209 3.1333
Nd 0.0000 0.0000 0.0000
Sm 2.2332 6.7481 1.0392
Sm -0.6615 5.5166 2.7980
Sm 2.6195 4.2968 3.6487
Sm -0.2755 3.0676 5.4049
Sm 3.0059 1.8455 6.2581
CELL_PARAMETERS angstrom
6.1761 0.0095 -0.9055
-1.0491 7.9760 0.1800
0.1121 0.6082 8.0229
```

---

First-principles (PBE) data for crystalline Nd6SmY4 at its relaxed geometry, as listed in Alexandria via LeMat-Bulk. Values from VASP.

Space-group type   No. 121
Polymorph energy (0 for the lowest one)   0.000 eV per atom
Energy relative to the elements   279 meV/atom

Cell and atoms, written as Quantum ESPRESSO input:
```
&SYSTEM
  ibrav = 0, nat = 11, ntyp = 3
/
ATOMIC_SPECIES
Nd 144.24 Nd.upf
Sm 150.36 Sm.upf
Y 88.91 Y.upf
ATOMIC_POSITIONS angstrom
Nd -5.2056 8.0755 5.9225
Nd -4.0421 6.2707 8.4692
Nd -1.2817 5.0625 4.1733
Nd 1.1482 2.5327 -1.7869
Nd 3.5002 0.1238 -1.5113
Nd 2.7808 0.0000 1.7869
Sm 0.0000 0.0000 0.0000
Y -3.3858 5.2525 1.4261
Y 0.1666 2.9468 2.0123
Y -1.3336 2.0688 5.9184
Y -2.4763 9.2643 7.6968
CELL_PARAMETERS angstrom
7.5818 -3.1339 -5.6846
-5.2854 8.1993 2.1108
-2.0201 3.1339 9.2583
```

---

First-principles (PBE) data for crystalline Nd5Sm4Y2 at its relaxed geometry, as listed in Alexandria via LeMat-Bulk. Values from VASP.

Space-group type   No. 12
Polymorph energy (0 for the lowest one)   0.022 eV per atom
Energy relative to the elements   136 meV/atom

Cell and atoms, written as Quantum ESPRESSO input:
```
&SYSTEM
  ibrav = 0, nat = 11, ntyp = 3
/
ATOMIC_SPECIES
Nd 144.24 Nd.upf
Sm 150.36 Sm.upf
Y 88.91 Y.upf
ATOMIC_POSITIONS angstrom
Nd 0.4882 1.1158 3.2031
Nd 2.8763 8.0391 7.2018
Nd 0.6768 7.4008 4.4409
Nd 1.7383 0.0000 -0.2649
Nd 2.6876 1.7540 5.9640
Sm 2.2882 4.2686 3.3430
Sm 0.0922 3.2216 0.6051
Sm 1.0763 4.8862 7.0618
Sm 3.2722 5.9333 9.7997
Y 3.1815 2.6245 9.2048
Y 0.1829 6.5303 1.2001
CELL_PARAMETERS angstrom
3.4766 0.0000 -0.5298
-0.2072 8.8318 -1.3595
0.0950 0.3230 12.2942
```

---

First-principles (PBE) data for crystalline NdSm5Y4 at its relaxed geometry, as listed in Alexandria via LeMat-Bulk. Values from VASP.

Space-group type   No. 12
Polymorph energy (0 for the lowest one)   0.000 eV per atom
Energy relative to the elements   144 meV/atom

Cell and atoms, written as Quantum ESPRESSO input:
```
&SYSTEM
  ibrav = 0, nat = 10, ntyp = 3
/
ATOMIC_SPECIES
Nd 144.24 Nd.upf
Sm 150.36 Sm.upf
Y 88.91 Y.upf
ATOMIC_POSITIONS angstrom
Nd 0.0513 -0.3347 -1.7214
Sm -6.5101 -1.1211 0.0241
Sm -5.4111 2.0618 -0.5621
Sm -9.4963 -2.1076 -1.6611
Sm -1.1865 -3.4773 -1.1472
Sm -8.3973 1.0753 -2.2473
Y -4.6741 -3.9877 -1.1519
Y -11.8080 0.5948 -2.2555
Y -10.2333 3.9418 -1.0714
Y -3.0994 -0.6407 0.0322
CELL_PARAMETERS angstrom
0.1026 -0.6694 -3.4428
-2.4756 -6.2852 1.1484
-12.5344 6.9087 0.0712
```

---

First-principles (PBE) data for crystalline NdSm7Y2 at its relaxed geometry, as listed in Alexandria via LeMat-Bulk. Values from VASP.

Space-group type   No. 65
Polymorph energy (0 for the lowest one)   0.654 eV per atom
Energy relative to the elements   667 meV/atom

Cell and atoms, written as Quantum ESPRESSO input:
```
&SYSTEM
  ibrav = 0, nat = 10, ntyp = 3
/
ATOMIC_SPECIES
Nd 144.24 Nd.upf
Sm 150.36 Sm.upf
Y 88.91 Y.upf
ATOMIC_POSITIONS angstrom
Nd 0.0000 0.0000 0.0000
Sm 6.2405 -2.0170 1.0260
Sm -0.7405 3.6263 5.5106
Sm -1.2777 -0.8826 3.3531
Sm 4.8928 -1.9740 5.8691
Sm 1.3535 -3.0096 1.6628
Sm 2.2616 0.1530 7.5594
Sm 1.8076 -1.4283 4.6111
Y 4.2537 -3.4057 3.0397
Y -0.6386 0.5491 6.1825
CELL_PARAMETERS angstrom
-1.8849 -4.4659 2.6855
8.6886 -3.9959 -0.5467
-3.1886 5.6052 7.0833
```

---

First-principles (PBE) data for crystalline Nd2Sm5Y12 at its relaxed geometry, as listed in Alexandria via LeMat-Bulk. Values from VASP.

Space-group type   No. 12
Polymorph energy (0 for the lowest one)   0.107 eV per atom
Energy relative to the elements   124 meV/atom

Cell and atoms, written as Quantum ESPRESSO input:
```
&SYSTEM
  ibrav = 0, nat = 19, ntyp = 3
/
ATOMIC_SPECIES
Nd 144.24 Nd.upf
Sm 150.36 Sm.upf
Y 88.91 Y.upf
ATOMIC_POSITIONS angstrom
Nd -0.4562 4.0067 -4.9072
Nd -0.2201 1.9328 -2.3673
Sm 0.5581 -3.5284 -2.9328
Sm -3.0751 -3.4543 -2.5345
Sm -4.2638 -0.8505 -0.2981
Sm 3.9697 0.4948 -6.0585
Sm 0.3365 0.5689 -5.6603
Y -0.8897 -1.1214 -0.8329
Y -0.9623 -6.4764 -1.2782
Y -1.3974 -2.6551 -5.9583
Y 3.9210 -4.9484 -2.0906
Y 3.6641 -2.6926 -4.8534
Y -5.8850 1.1541 -4.6041
Y 6.7795 -4.1136 -3.9890
Y -3.0264 1.9889 -6.5024
Y -2.7696 -0.2669 -3.7396
Y 1.8569 3.5169 -7.3148
Y 2.2920 -0.3044 -2.6347
Y 1.7842 -1.8381 -7.7601
CELL_PARAMETERS angstrom
-0.6762 5.9395 -7.2745
10.0984 -7.1980 -0.7224
-8.5276 -1.7010 -0.5962
```

---

First-principles (PBE) data for crystalline Nd2Sm3Y6 at its relaxed geometry, as listed in Alexandria via LeMat-Bulk. Values from VASP.

Space-group type   No. 12
Polymorph energy (0 for the lowest one)   0.000 eV per atom
Energy relative to the elements   184 meV/atom

Cell and atoms, written as Quantum ESPRESSO input:
```
&SYSTEM
  ibrav = 0, nat = 11, ntyp = 3
/
ATOMIC_SPECIES
Nd 144.24 Nd.upf
Sm 150.36 Sm.upf
Y 88.91 Y.upf
ATOMIC_POSITIONS angstrom
Nd 2.3097 3.5846 6.7289
Nd 5.2786 1.7922 7.6158
Sm 0.0000 0.0000 0.0000
Sm 2.9689 1.7658 0.8869
Sm 5.9378 3.6111 1.7738
Y 3.4654 3.5877 10.0960
Y 3.4599 0.0000 10.0974
Y 0.4965 1.7892 9.2091
Y 1.1595 0.0000 3.3604
Y 4.1229 1.7892 4.2486
Y 7.0918 3.5877 5.1355
CELL_PARAMETERS angstrom
5.9379 0.0000 1.7738
2.9689 5.3768 0.8869
-1.3184 0.0000 11.6840
```